# TbSm12Dy6, relaxed, DFT PBE
# M_tot = 0.000 Bohr magnetons per cell
# Raw total energy = -4.536 eV/atom
# ΔH_f (0 K) = 142 meV/atom
# Relative energy among the computed polymorphs = 0 meV/atom
data_TbSm12Dy6
_cell_length_a 8.616
_cell_length_b 8.616
_cell_length_c 8.616
_cell_angle_alpha 88.88
_cell_angle_beta 88.88
_cell_angle_gamma 88.88
_symmetry_space_group_name_H-M 'P 1'
_symmetry_Int_Tables_number 1
loop_
_symmetry_equiv_pos_as_xyz
'x,y,z'
loop_
_atom_site_label
_atom_site_fract_x
_atom_site_fract_y
_atom_site_fract_z
_atom_site_occupancy
Tb1 0.000 0.000 0.000 1
Sm1 0.016 0.361 0.197 1
Sm2 0.197 0.016 0.361 1
Sm3 0.221 0.566 0.462 1
Sm4 0.361 0.197 0.016 1
Sm5 0.434 0.538 0.779 1
Sm6 0.462 0.221 0.566 1
Sm7 0.538 0.779 0.434 1
Sm8 0.566 0.462 0.221 1
Sm9 0.639 0.803 0.984 1
Sm10 0.779 0.434 0.538 1
Sm11 0.803 0.984 0.639 1
Sm12 0.984 0.639 0.803 1
Dy1 0.097 0.260 0.699 1
Dy2 0.260 0.699 0.097 1
Dy3 0.301 0.903 0.740 1
Dy4 0.699 0.097 0.260 1
Dy5 0.740 0.301 0.903 1
Dy6 0.903 0.740 0.301 1

***

# Tb4Sm5Dy, relaxed, DFT PBE
# M_tot = 0.000 Bohr magnetons per cell
# Raw total energy = -4.413 eV/atom
# ΔH_f (0 K) = 259 meV/atom
# Relative energy among the computed polymorphs = 244 meV/atom
data_Tb4Sm5Dy
_cell_length_a 8.074
_cell_length_b 8.074
_cell_length_c 8.074
_cell_angle_alpha 97.98
_cell_angle_beta 97.98
_cell_angle_gamma 136.26
_symmetry_space_group_name_H-M 'P 1'
_symmetry_Int_Tables_number 1
loop_
_symmetry_equiv_pos_as_xyz
'x,y,z'
loop_
_atom_site_label
_atom_site_fract_x
_atom_site_fract_y
_atom_site_fract_z
_atom_site_occupancy
Tb1 0.000 0.325 0.325 1
Tb2 0.000 0.675 0.675 1
Tb3 0.325 0.000 0.325 1
Tb4 0.675 0.000 0.675 1
Sm1 0.242 0.242 0.000 1
Sm2 0.320 0.320 0.622 1
Sm3 0.320 0.699 0.000 1
Sm4 0.699 0.320 0.000 1
Sm5 0.699 0.699 0.378 1
Dy1 0.774 0.774 0.000 1

***

# Tb3SmDy5, relaxed, DFT PBE
# M_tot = 0.000 Bohr magnetons per cell
# Raw total energy = -4.113 eV/atom
# ΔH_f (0 K) = 512 meV/atom
# Relative energy among the computed polymorphs = 213 meV/atom
data_Tb3SmDy5
_cell_length_a 9.477
_cell_length_b 9.477
_cell_length_c 9.888
_cell_angle_alpha 120.95
_cell_angle_beta 120.95
_cell_angle_gamma 74.12
_symmetry_space_group_name_H-M 'P 1'
_symmetry_Int_Tables_number 1
loop_
_symmetry_equiv_pos_as_xyz
'x,y,z'
loop_
_atom_site_label
_atom_site_fract_x
_atom_site_fract_y
_atom_site_fract_z
_atom_site_occupancy
Tb1 0.000 0.000 0.000 1
Tb2 0.008 0.008 0.316 1
Tb3 0.481 0.481 0.141 1
Tb4 0.500 0.500 0.500 1
Tb5 0.519 0.519 0.859 1
Tb6 0.992 0.992 0.684 1
Sm1 0.250 0.250 0.094 1
Sm2 0.750 0.750 0.906 1
Dy1 0.101 0.603 0.751 1
Dy2 0.223 0.223 0.729 1
Dy3 0.242 0.758 0.500 1
Dy4 0.275 0.275 0.457 1
Dy5 0.397 0.899 0.249 1
Dy6 0.603 0.101 0.751 1
Dy7 0.725 0.725 0.543 1
Dy8 0.758 0.242 0.500 1
Dy9 0.777 0.777 0.271 1
Dy10 0.899 0.397 0.249 1

***

# Tb3Sm3Dy4, relaxed, DFT PBE
# M_tot = 0.000 Bohr magnetons per cell
# Raw total energy = -4.550 eV/atom
# ΔH_f (0 K) = 95 meV/atom
data_Tb3Sm3Dy4
_cell_length_a 3.693
_cell_length_b 9.431
_cell_length_c 9.431
_cell_angle_alpha 89.88
_cell_angle_beta 90.00
_cell_angle_gamma 90.00
_symmetry_space_group_name_H-M 'P 1'
_symmetry_Int_Tables_number 1
loop_
_symmetry_equiv_pos_as_xyz
'x,y,z'
loop_
_atom_site_label
_atom_site_fract_x
_atom_site_fract_y
_atom_site_fract_z
_atom_site_occupancy
Tb1 0.000 0.000 0.000 1
Tb2 0.500 0.324 0.827 1
Tb3 0.500 0.827 0.324 1
Sm1 0.000 0.152 0.500 1
Sm2 0.000 0.500 0.152 1
Sm3 0.000 0.653 0.653 1
Dy1 0.500 0.200 0.200 1
Dy2 0.500 0.452 0.452 1
Dy3 0.500 0.703 0.953 1
Dy4 0.500 0.953 0.703 1

***

# Tb2Sm4Dy, relaxed, DFT PBE
# M_tot = 0.000 Bohr magnetons per cell
# Raw total energy = -4.636 eV/atom
# ΔH_f (0 K) = 41 meV/atom
# Relative energy among the computed polymorphs = 0 meV/atom
data_Tb2Sm4Dy
_cell_length_a 8.672
_cell_length_b 8.672
_cell_length_c 8.833
_cell_angle_alpha 118.74
_cell_angle_beta 118.74
_cell_angle_gamma 23.67
_symmetry_space_group_name_H-M 'P 1'
_symmetry_Int_Tables_number 1
loop_
_symmetry_equiv_pos_as_xyz
'x,y,z'
loop_
_atom_site_label
_atom_site_fract_x
_atom_site_fract_y
_atom_site_fract_z
_atom_site_occupancy
Tb1 0.070 0.070 0.429 1
Tb2 0.930 0.930 0.571 1
Sm1 0.296 0.296 0.707 1
Sm2 0.361 0.361 0.163 1
Sm3 0.639 0.639 0.837 1
Sm4 0.704 0.704 0.293 1
Dy1 0.000 0.000 0.000 1

***

# Tb3Sm2Dy, relaxed, DFT PBE
# M_tot = 0.000 Bohr magnetons per cell
# Raw total energy = -4.591 eV/atom
# ΔH_f (0 K) = 64 meV/atom
# Relative energy among the computed polymorphs = 0 meV/atom
data_Tb3Sm2Dy
_cell_length_a 8.996
_cell_length_b 8.996
_cell_length_c 9.756
_cell_angle_alpha 122.76
_cell_angle_beta 122.76
_cell_angle_gamma 36.70
_symmetry_space_group_name_H-M 'P 1'
_symmetry_Int_Tables_number 1
loop_
_symmetry_equiv_pos_as_xyz
'x,y,z'
loop_
_atom_site_label
_atom_site_fract_x
_atom_site_fract_y
_atom_site_fract_z
_atom_site_occupancy
Tb1 0.001 0.001 0.168 1
Tb2 0.250 0.250 0.089 1
Tb3 0.376 0.376 0.881 1
Tb4 0.624 0.624 0.119 1
Tb5 0.750 0.750 0.911 1
Tb6 0.999 0.999 0.832 1
Sm1 0.250 0.250 0.425 1
Sm2 0.499 0.499 0.665 1
Sm3 0.501 0.501 0.335 1
Sm4 0.750 0.750 0.575 1
Dy1 0.125 0.125 0.630 1
Dy2 0.875 0.875 0.370 1

***

# TbSmDy2, relaxed, DFT PBE
# M_tot = 0.000 Bohr magnetons per cell
# Raw total energy = -4.619 eV/atom
# ΔH_f (0 K) = 19 meV/atom
# Relative energy among the computed polymorphs = 7 meV/atom
data_TbSmDy2
_cell_length_a 5.047
_cell_length_b 5.047
_cell_length_c 5.039
_cell_angle_alpha 90.00
_cell_angle_beta 90.00
_cell_angle_gamma 90.00
_symmetry_space_group_name_H-M 'P 1'
_symmetry_Int_Tables_number 1
loop_
_symmetry_equiv_pos_as_xyz
'x,y,z'
loop_
_atom_site_label
_atom_site_fract_x
_atom_site_fract_y
_atom_site_fract_z
_atom_site_occupancy
Tb1 0.000 0.000 0.000 1
Sm1 0.500 0.500 0.000 1
Dy1 0.000 0.500 0.500 1
Dy2 0.500 0.000 0.500 1

***

# TbSm6Dy4, relaxed, DFT PBE
# M_tot = 0.002 Bohr magnetons per cell
# Raw total energy = -4.549 eV/atom
# ΔH_f (0 K) = 120 meV/atom
# Relative energy among the computed polymorphs = 0 meV/atom
data_TbSm6Dy4
_cell_length_a 5.638
_cell_length_b 5.638
_cell_length_c 25.691
_cell_angle_alpha 90.00
_cell_angle_beta 90.00
_cell_angle_gamma 117.67
_symmetry_space_group_name_H-M 'P 1'
_symmetry_Int_Tables_number 1
loop_
_symmetry_equiv_pos_as_xyz
'x,y,z'
loop_
_atom_site_label
_atom_site_fract_x
_atom_site_fract_y
_atom_site_fract_z
_atom_site_occupancy
Tb1 0.214 0.786 0.750 1
Tb2 0.786 0.214 0.250 1
Sm1 0.120 0.880 0.182 1
Sm2 0.120 0.880 0.318 1
Sm3 0.204 0.796 0.603 1
Sm4 0.204 0.796 0.897 1
Sm5 0.448 0.552 0.250 1
Sm6 0.500 0.500 0.000 1
Sm7 0.500 0.500 0.500 1
Sm8 0.552 0.448 0.750 1
Sm9 0.796 0.204 0.103 1
Sm10 0.796 0.204 0.397 1
Sm11 0.880 0.120 0.682 1
Sm12 0.880 0.120 0.818 1
Dy1 0.148 0.852 0.044 1
Dy2 0.148 0.852 0.456 1
Dy3 0.453 0.547 0.123 1
Dy4 0.453 0.547 0.377 1
Dy5 0.547 0.453 0.623 1
Dy6 0.547 0.453 0.877 1
Dy7 0.852 0.148 0.544 1
Dy8 0.852 0.148 0.956 1